(1)
Here is an optimized crystal structure of NaCu2Ge2 from the Alexandria database. Energies are from GGA-PBE.

Computed properties:
The total moment is 0.000 μB/cell. For the formation energy, the calculation gives 0.23 eV per formula unit. The value obtained for the energy above the lowest structure with this stoichiometry is 89 meV per atom. For the density, the calculation gives 5.90 g cm⁻³. The value obtained for the total energy is -3.703 eV/atom. For the density of states at the Fermi level, the calculation gives 3.85 states/eV per cell.

a = 7.6487 Å, b = 7.6487 Å, c = 2.8415 Å
α = 90.00°, β = 90.00°, γ = 90.00°
Positions (direct):
1 Na 0.0000 0.0000 0.0000
2 Na 0.5000 0.5000 0.0000
3 Ge 0.1613 0.6613 0.5000
4 Ge 0.6613 0.8387 0.5000
5 Ge 0.8387 0.3387 0.5000
6 Ge 0.3387 0.1613 0.5000
7 Cu 0.3704 0.8704 0.0000
8 Cu 0.8704 0.6296 0.0000
9 Cu 0.6296 0.1296 0.0000
10 Cu 0.1296 0.3704 0.0000

***

(2)
Here is an optimized crystal structure of RbNaBeAu2 from the Alexandria database. Energies are from GGA-PBE.

Computed properties:
The total moment is 0.000 μB/cell. For the formation energy, the calculation gives 3.98 eV per formula unit. For the density, the calculation gives 4.84 g cm⁻³. The value obtained for the total energy is -1.717 eV/atom. For the density of states at the Fermi level, the calculation gives 0.17 states/eV per cell.

a = 5.4286 Å, b = 5.9560 Å, c = 5.4286 Å
α = 90.00°, β = 90.00°, γ = 90.00°
Positions (direct):
1 Na 0.0000 0.0000 0.0000
2 Au 0.0000 0.0000 0.5000
3 Au 0.5000 0.0000 0.0000
4 Rb 0.0000 0.5000 0.0000
5 Be 0.5000 0.5000 0.5000

***

(3)
Here is an optimized crystal structure of BaNbTe2 from the Alexandria database. Energies are from GGA-PBE.

Computed properties:
The total moment is 1.000 μB/cell. The value obtained for the energy above the lowest structure with this stoichiometry is 209 meV per atom. For the density, the calculation gives 7.23 g cm⁻³. The value obtained for the total energy is -4.901 eV/atom. For the density of states at the Fermi level, the calculation gives 3.77 states/eV per cell.

a = 5.4013 Å, b = 5.4013 Å, c = 5.4013 Å
α = 60.00°, β = 60.00°, γ = 60.00°
Each line ends with the local moment (μB).
Positions (direct):
1 Nb 0.0000 0.0000 0.0000  0.89
2 Te 0.2500 0.2500 0.2500  -0.04
3 Te 0.7500 0.7500 0.7500  -0.04
4 Ba 0.5000 0.5000 0.5000  0.00

***

(4)
Here is an optimized crystal structure of Re2AuSe from the Alexandria database. Energies are from GGA-PBE.

Computed properties:
The total moment is 0.000 μB/cell. For the density, the calculation gives 15.42 g cm⁻³. The value obtained for the total energy is -7.626 eV/atom. For the density of states at the Fermi level, the calculation gives 1.69 states/eV per cell.

a = 9.6943 Å, b = 9.6943 Å, c = 9.6943 Å
α = 17.24°, β = 17.24°, γ = 17.24°
Positions (direct):
1 Au 0.7418 0.7418 0.7418
2 Re 0.9905 0.9905 0.9905
3 Re 0.2512 0.2512 0.2512
4 Se 0.5165 0.5165 0.5165

***

(5)
Here is an optimized crystal structure of Pr2ErGa2 from the Alexandria database. Energies are from GGA-PBE.

Computed properties:
The total moment is 0.000 μB/cell. For the formation energy, the calculation gives -2.38 eV per formula unit. The value obtained for the energy above the lowest structure with this stoichiometry is 0 meV per atom. For the density, the calculation gives 7.17 g cm⁻³. The value obtained for the total energy is -4.510 eV/atom. For the density of states at the Fermi level, the calculation gives 5.65 states/eV per cell.

a = 4.6850 Å, b = 5.9841 Å, c = 5.9841 Å
α = 66.83°, β = 66.96°, γ = 66.96°
Positions (direct):
1 Pr 0.7996 0.7004 0.7004
2 Pr 0.2004 0.2996 0.2996
3 Er 0.0000 0.0000 0.0000
4 Ga 0.5000 0.7040 0.2960
5 Ga 0.5000 0.2960 0.7040

***

(6)
Here is an optimized crystal structure of HfTaNbV from the Alexandria database. Energies are from GGA-PBE.

Computed properties:
The total moment is 1.663 μB/cell. For the formation energy, the calculation gives 0.42 eV per formula unit. For the density, the calculation gives 11.52 g cm⁻³. The value obtained for the total energy is -10.145 eV/atom. For the density of states at the Fermi level, the calculation gives 7.11 states/eV per cell.

a = 4.6814 Å, b = 4.6814 Å, c = 4.6814 Å
α = 60.00°, β = 60.00°, γ = 60.00°
Each line ends with the local moment (μB).
Positions (direct):
1 Nb 0.7500 0.7500 0.7500  -0.08
2 V 0.2500 0.2500 0.2500  1.24
3 Hf 0.5000 0.5000 0.5000  0.18
4 Ta 0.0000 0.0000 0.0000  -0.01

***

(7)
Here is an optimized crystal structure of RbGaF5 from the Alexandria database. Energies are from GGA-PBE.

Computed properties:
The total moment is 2.082 μB/cell. For the density, the calculation gives 2.94 g cm⁻³. The value obtained for the total energy is -4.180 eV/atom. For the density of states at the Fermi level, the calculation gives 9.79 states/eV per cell.

a = 6.3607 Å, b = 6.3607 Å, c = 7.9203 Å
α = 71.48°, β = 71.48°, γ = 73.76°
Each line ends with the local moment (μB).
Positions (direct):
1 Rb 0.5378 0.4622 0.2500  0.00
2 Rb 0.4622 0.5378 0.7500  0.00
3 Ga 0.0000 0.0000 0.0000  -0.02
4 Ga 0.0000 0.0000 0.5000  -0.02
5 F 0.8182 0.7815 0.1046  0.24
6 F 0.2298 0.7434 0.4709  0.18
7 F 0.7815 0.8182 0.6046  0.24
8 F 0.9524 0.0476 0.2500  0.10
9 F 0.2566 0.7702 0.0291  0.18
10 F 0.7434 0.2298 0.9709  0.18
11 F 0.0476 0.9524 0.7500  0.10
12 F 0.2185 0.1818 0.3954  0.24
13 F 0.7702 0.2566 0.5291  0.18
14 F 0.1818 0.2185 0.8954  0.24

***

(8)
Here is an optimized crystal structure of Tb5SmDy2Tm from the Alexandria database. Energies are from GGA-PBE.

Computed properties:
The total moment is 0.000 μB/cell. For the formation energy, the calculation gives 1.36 eV per formula unit. For the density, the calculation gives 8.10 g cm⁻³. The value obtained for the total energy is -4.466 eV/atom. For the density of states at the Fermi level, the calculation gives 28.34 states/eV per cell.

a = 5.5873 Å, b = 10.3588 Å, c = 10.5906 Å
α = 90.00°, β = 90.00°, γ = 105.65°
Positions (direct):
1 Tb 0.3919 0.7839 0.0234
2 Tb 0.7186 0.4371 0.8069
3 Tb 0.4796 0.9592 0.7395
4 Tb 0.3004 0.6008 0.7069
5 Tb 0.9827 0.9655 0.5239
6 Tb 0.6081 0.2161 0.5234
7 Tb 0.2814 0.5629 0.3069
8 Tb 0.5204 0.0408 0.2395
9 Tb 0.6996 0.3992 0.2069
10 Tb 0.0173 0.0345 0.0239
11 Sm 0.7994 0.5988 0.5106
12 Sm 0.2006 0.4012 0.0106
13 Dy 0.8858 0.7717 0.8179
14 Dy 0.1096 0.2192 0.7372
15 Dy 0.1142 0.2283 0.3179
16 Dy 0.8904 0.7808 0.2372
17 Tm 0.5878 0.1757 0.9576
18 Tm 0.4122 0.8243 0.4576

***

> What is the total moment in the first record?

0.000 μB/cell